1.
The following is a DFT calculation (PBE) of a geometry-optimized TlIrSN2 structure.

Calculated values
Formation energy without anion corrections = 2.54 eV per atom
SG = P4/mmm (123)
Relative energy among the computed polymorphs = 1794.7 meV per atom
Total magnetic moment = 0.944 μB per atom

a b c (Å): 4.093 4.093 5.731
angles (deg): 90.00 90.00 90.00
Site moments in Bohr magnetons follow the coordinates.
Fractional positions:
N (0.500, 0.000, 0.000)  0.93
N (0.000, 0.500, 0.000)  0.93
Ir (0.500, 0.500, 0.500)  1.72
Tl (0.000, 0.000, 0.000)  0.00
S (0.000, 0.000, 0.500)  0.20

---

2.
The following is a DFT calculation (PBE) of a geometry-optimized TlIrS2N structure.

Calculated values
Formation energy without anion corrections = 0.30 eV per atom
SG = P4/mmm (123)
Relative energy among the computed polymorphs = 0.0 meV per atom
Total magnetic moment = 0.000 μB per atom

a b c (Å): 5.011 5.011 3.695
angles (deg): 90.00 90.00 90.00
Fractional positions:
S (0.500, 0.000, 0.000)
S (0.000, 0.500, 0.000)
Ir (0.000, 0.000, 0.000)
N (0.000, 0.000, 0.500)
Tl (0.500, 0.500, 0.500)

---

3.
The following is a DFT calculation (PBE) of a geometry-optimized TlIrS2N structure.

Calculated values
Formation energy without anion corrections = 0.91 eV per atom
SG = P4/mmm (123)
Relative energy among the computed polymorphs = 610.4 meV per atom
Total magnetic moment = 0.000 μB per atom

a b c (Å): 5.027 3.712 5.027
angles (deg): 90.00 90.00 90.00
Fractional positions:
N (0.000, 0.000, 0.000)
S (0.000, 0.000, 0.500)
S (0.500, 0.000, 0.000)
Ir (0.000, 0.500, 0.000)
Tl (0.500, 0.500, 0.500)

---

4.
The following is a DFT calculation (PBE) of a geometry-optimized TlIrS2N structure.

Calculated values
Formation energy without anion corrections = 2.88 eV per atom
SG = P4/mmm (123)
Relative energy among the computed polymorphs = 2580.1 meV per atom
Total magnetic moment = 0.000 μB per atom

a b c (Å): 4.995 5.216 4.995
angles (deg): 90.00 90.00 90.00
Fractional positions:
N (0.500, 0.500, 0.500)
S (0.500, 0.000, 0.000)
S (0.000, 0.000, 0.500)
Tl (0.000, 0.000, 0.000)
Ir (0.000, 0.500, 0.000)

---

5.
The following is a DFT calculation (PBE) of a geometry-optimized TlIrSN2 structure.

Calculated values
Formation energy without anion corrections = 0.75 eV per atom
SG = P4/mmm (123)
Relative energy among the computed polymorphs = 0.0 meV per atom
Total magnetic moment = 0.000 μB per atom

a b c (Å): 3.852 3.852 5.479
angles (deg): 90.00 90.00 90.00
Fractional positions:
Tl (0.500, 0.500, 0.500)
N (0.000, 0.500, 0.000)
N (0.500, 0.000, 0.000)
Ir (0.000, 0.000, 0.000)
S (0.000, 0.000, 0.500)

---

6.
The following is a DFT calculation (PBE) of a geometry-optimized TlIrS2N structure.

Calculated values
Formation energy without anion corrections = 2.19 eV per atom
SG = P4/mmm (123)
Relative energy among the computed polymorphs = 1892.2 meV per atom
Total magnetic moment = 0.023 μB per atom

a b c (Å): 5.102 5.102 3.939
angles (deg): 90.00 90.00 90.00
Site moments in Bohr magnetons follow the coordinates.
Fractional positions:
Ir (0.500, 0.500, 0.500)  0.11
N (0.000, 0.000, 0.500)  0.00
S (0.500, 0.000, 0.000)  0.00
S (0.000, 0.500, 0.000)  0.00
Tl (0.000, 0.000, 0.000)  0.00

---

7.
The following is a DFT calculation (PBE) of a geometry-optimized IrWSN2 structure.

Calculated values
Formation energy without anion corrections = 0.99 eV per atom
SG = P4/mmm (123)
Relative energy among the computed polymorphs = 0.0 meV per atom
Total magnetic moment = 0.306 μB per atom

a b c (Å): 3.838 3.838 5.074
angles (deg): 90.00 90.00 90.00
Site moments in Bohr magnetons follow the coordinates.
Fractional positions:
S (0.000, 0.000, 0.500)  0.02
Ir (0.500, 0.500, 0.500)  1.05
N (0.500, 0.000, 0.000)  0.14
N (0.000, 0.500, 0.000)  0.14
W (0.000, 0.000, 0.000)  0.02

---

8.
The following is a DFT calculation (PBE) of a geometry-optimized IrWSN2 structure.

Calculated values
Formation energy without anion corrections = 1.36 eV per atom
SG = P4/mmm (123)
Relative energy among the computed polymorphs = 372.3 meV per atom
Total magnetic moment = 0.710 μB per atom

a b c (Å): 3.658 3.658 7.953
angles (deg): 90.00 90.00 90.00
Site moments in Bohr magnetons follow the coordinates.
Fractional positions:
N (0.500, 0.000, 0.000)  0.14
N (0.000, 0.500, 0.000)  0.14
W (0.500, 0.500, 0.500)  2.46
S (0.000, 0.000, 0.500)  -0.06
Ir (0.000, 0.000, 0.000)  -0.02

---

9.
The following is a DFT calculation (PBE) of a geometry-optimized YIrSN2 structure.

Calculated values
Formation energy without anion corrections = -0.04 eV per atom
SG = P4/mmm (123)
Relative energy among the computed polymorphs = 0.0 meV per atom
Total magnetic moment = 0.000 μB per atom

a b c (Å): 3.895 3.895 4.953
angles (deg): 90.00 90.00 90.00
Fractional positions:
N (0.000, 0.500, 0.000)
N (0.500, 0.000, 0.000)
S (0.000, 0.000, 0.500)
Y (0.500, 0.500, 0.500)
Ir (0.000, 0.000, 0.000)

---

10.
The following is a DFT calculation (PBE) of a geometry-optimized YIrSN2 structure.

Calculated values
Formation energy without anion corrections = 1.57 eV per atom
SG = P4/mmm (123)
Relative energy among the computed polymorphs = 1614.2 meV per atom
Total magnetic moment = 1.071 μB per atom

a b c (Å): 4.284 4.284 5.469
angles (deg): 90.00 90.00 90.00
Site moments in Bohr magnetons follow the coordinates.
Fractional positions:
N (0.000, 0.500, 0.000)  1.14
N (0.500, 0.000, 0.000)  1.14
Ir (0.500, 0.500, 0.500)  1.79
S (0.000, 0.000, 0.500)  0.13
Y (0.000, 0.000, 0.000)  0.16

---

11.
The following is a DFT calculation (PBE) of a geometry-optimized ZnIrSN2 structure.

Calculated values
Formation energy without anion corrections = 1.95 eV per atom
SG = P4/mmm (123)
Relative energy among the computed polymorphs = 1248.3 meV per atom
Total magnetic moment = 0.467 μB per atom

a b c (Å): 3.714 3.714 5.100
angles (deg): 90.00 90.00 90.00
Site moments in Bohr magnetons follow the coordinates.
Fractional positions:
S (0.000, 0.000, 0.500)  0.13
N (0.500, 0.000, 0.000)  0.77
N (0.000, 0.500, 0.000)  0.77
Zn (0.000, 0.000, 0.000)  0.06
Ir (0.500, 0.500, 0.500)  0.04

---

12.
The following is a DFT calculation (PBE) of a geometry-optimized ZnIrSN2 structure.

Calculated values
Formation energy without anion corrections = 0.70 eV per atom
SG = P4/mmm (123)
Relative energy among the computed polymorphs = 0.0 meV per atom
Total magnetic moment = 0.000 μB per atom

a b c (Å): 3.739 3.739 5.489
angles (deg): 90.00 90.00 90.00
Fractional positions:
N (0.500, 0.000, 0.000)
N (0.000, 0.500, 0.000)
Ir (0.000, 0.000, 0.000)
Zn (0.500, 0.500, 0.500)
S (0.000, 0.000, 0.500)

---

Which of these has the lowest formation energy without anion corrections?
number 9